Record 1
{
  "formula": "Tb2MgPd",
  "functional": "PBE",
  "state": "relaxed",
  "formation_energy_ev_per_atom": -0.393,
  "spacegroup": "Fm-3m",
  "relative_energy_ev_per_fu": 0.324,
  "cell": [[-0.0659, -0.3989, 5.1381], [-0.3069, -4.6409, 2.2208], [4.0757, -1.9416, 2.4865]],
  "species": ["Tb", "Pd", "Mg", "Tb"],
  "frac_coords": [[0.7500, 0.7500, 0.7500], [0.5000, 0.5000, 0.5000], [0.0000, 0.0000, 0.0000], [0.2500, 0.2500, 0.2500]]
}

Record 2
{
  "formula": "Tb2MgPd3",
  "functional": "PBE",
  "state": "relaxed",
  "formation_energy_ev_per_atom": -0.634,
  "spacegroup": "Immm",
  "relative_energy_ev_per_fu": 1.103,
  "cell": [[4.3687, 0.0000, 0.0000], [0.0000, 5.5484, 0.0000], [-2.1843, -2.7742, 5.4365]],
  "species": ["Mg", "Tb", "Pd", "Pd", "Pd", "Tb"],
  "frac_coords": [[0.0000, 0.5000, 0.0000], [0.3179, 0.8179, 0.6358], [0.6334, 0.6334, 0.2668], [0.0000, 0.0000, 0.0000], [0.3666, 0.3666, 0.7332], [0.6821, 0.1821, 0.3642]]
}

Record 3
{
  "formula": "Tb2MgPd2",
  "functional": "PBE",
  "state": "relaxed",
  "formation_energy_ev_per_atom": -0.767,
  "spacegroup": "P4/mbm",
  "cell": [[7.6284, 0.0000, 0.0000], [0.0000, 7.6284, 0.0000], [0.0000, 0.0000, 3.8830]],
  "species": ["Mg", "Tb", "Tb", "Pd", "Tb", "Pd", "Tb", "Pd", "Mg", "Pd"],
  "frac_coords": [[0.0000, 0.0000, 0.0000], [0.1694, 0.3306, 0.5000], [0.3306, 0.8306, 0.5000], [0.8677, 0.3677, 0.0000], [0.6694, 0.1694, 0.5000], [0.6323, 0.8677, 0.0000], [0.8306, 0.6694, 0.5000], [0.1323, 0.6323, 0.0000], [0.5000, 0.5000, 0.0000], [0.3677, 0.1323, 0.0000]]
}

no.,size of the total moment (μB per atom)
1,0.00
2,0.00
3,0.00